<one>
This record from the Open Quantum Materials Database describes an optimized crystal structure of Tc2Ge2O5. The functional is PBE-GGA.

Results
Total magnetic moment = 4.01 μB/cell

abc: 6.135 3.969 3.969
angles: 90.00 90.00 90.00
Site moments in Bohr magnetons follow the coordinates.
Sites, in units of the cell vectors:
Ge 0.199 0.500 0.500  -0.01
Ge 0.801 0.500 0.500  -0.01
O 0.206 0.500 0.000  0.03
O 0.794 0.500 0.000  0.03
O 0.206 0.000 0.500  0.05
O 0.794 0.000 0.500  0.05
O 0.500 0.500 0.500  0.08
Tc 0.000 0.000 0.000  -0.42
Tc 0.500 0.000 0.000  3.83


<two>
This record from the Open Quantum Materials Database describes an optimized crystal structure of Tc2Ge2O5. The functional is PBE-GGA.

Results
Total magnetic moment = 0.02 μB/cell

abc: 7.281 3.864 3.864
angles: 90.00 90.00 90.00
Sites, in units of the cell vectors:
Ge 0.000 0.000 0.000
Ge 0.500 0.000 0.000
O 0.218 0.500 0.000
O 0.782 0.500 0.000
O 0.218 0.000 0.500
O 0.782 0.000 0.500
O 0.500 0.500 0.500
Tc 0.207 0.500 0.500
Tc 0.793 0.500 0.500


What is the most stable structure shown above? It is <two>.